Record 1
Here is an optimized crystal structure of LaAs2HBr from Alexandria. Energies are from PBEsol.

The space group is P4/mmm (No. 123) and the conventional cell measures 4.142, 4.142 and 5.523 Å, with angles of 90.00, 90.00 and 90.00 degrees. The asymmetric unit holds La at (0.000, 0.000, 0.000), As at (0.000, 0.500, 0.500), H at (0.500, 0.500, 0.500) and Br at (0.500, 0.500, 0.000).

The value obtained for the total energy is -4.7273 eV/atom.



Record 2
Here is an optimized crystal structure of Sr4Ca5 from Alexandria. Energies are from PBEsol.

The space group is I4/mmm (No. 139) and the conventional cell measures 11.993, 11.993 and 5.673 Å, with angles of 90.00, 90.00 and 90.00 degrees. The asymmetric unit holds Sr at (0.000, 0.326, 0.000), Ca at (0.000, 0.000, 0.000) and Ca at (0.164, 0.164, 0.500).

The value obtained for the polymorph energy (0 for the lowest one) is 0 meV per atom. The formation energy is 0.014 eV per atom.



Record 3
Here is an optimized crystal structure of InSi2Mo from Alexandria. Energies are from PBEsol.

The space group is Cm (No. 8) and the conventional cell measures 8.354, 3.310 and 5.982 Å, with angles of 90.00, 123.69 and 90.00 degrees. The asymmetric unit holds In at (0.000, 0.000, 0.000), Si at (0.104, 0.500, 0.694), Si at (0.378, 0.500, 0.348) and Mo at (0.256, 0.000, 0.544).

The value obtained for the total energy is -6.5418 eV/atom.



Record 4
Here is an optimized crystal structure of CsNaAs2Br from Alexandria. Energies are from PBEsol.

The space group is P4/mmm (No. 123) and the conventional cell measures 6.656, 6.656 and 6.583 Å, with angles of 90.00, 90.00 and 90.00 degrees. The asymmetric unit holds Cs at (0.000, 0.000, 0.000), Na at (0.500, 0.500, 0.500), As at (0.000, 0.500, 0.000) and Br at (0.000, 0.000, 0.500).

The value obtained for the total energy is -2.2211 eV/atom.



Record 5
Here is an optimized crystal structure of Y2AgSn2 from Alexandria. Energies are from PBEsol.

The space group is P4/mbm (No. 127) and the conventional cell measures 7.333, 7.333 and 4.546 Å, with angles of 90.00, 90.00 and 90.00 degrees. The asymmetric unit holds Y at (0.170, 0.330, 0.000), Ag at (0.000, 0.000, 0.500) and Sn at (0.138, 0.638, 0.500).

The formation energy is -0.641 eV per atom.



Record 6
Here is an optimized crystal structure of InAg2Ir from Alexandria. Energies are from PBEsol.

The space group is P4mm (No. 99) and the conventional cell measures 3.034, 3.034 and 7.292 Å, with angles of 90.00, 90.00 and 90.00 degrees. The asymmetric unit holds In at (0.000, 0.000, 0.000), Ag at (0.000, 0.000, 0.475), Ag at (0.500, 0.500, 0.724) and Ir at (0.500, 0.500, 0.230).

The formation energy is 0.130 eV per atom.



Record 7
Here is an optimized crystal structure of NaAs2O2 from Alexandria. Energies are from PBEsol.

The space group is I4/mmm (No. 139) and the conventional cell measures 4.262, 4.262 and 9.308 Å, with angles of 90.00, 90.00 and 90.00 degrees. The asymmetric unit holds Na at (0.000, 0.000, 0.000), As at (0.000, 0.000, 0.305) and O at (0.000, 0.500, 0.250).

The value obtained for the total energy is -4.7471 eV/atom.



Record 8
Here is an optimized crystal structure of MgZnP2S from Alexandria. Energies are from PBEsol.

The space group is P4/mmm (No. 123) and the conventional cell measures 4.532, 4.532 and 4.788 Å, with angles of 90.00, 90.00 and 90.00 degrees. The asymmetric unit holds Mg at (0.000, 0.000, 0.000), Zn at (0.500, 0.500, 0.500), P at (0.000, 0.500, 0.500) and S at (0.500, 0.500, 0.000).

The value obtained for the total energy is -3.3270 eV/atom.



Record 9
Here is an optimized crystal structure of DyTc2 from Alexandria. Energies are from PBEsol.

The space group is P6_3/mmc (No. 194) and the conventional cell measures 5.2942, 5.2942 and 8.7525 Å, with angles of 90.00, 90.00 and 120.00 degrees. The asymmetric unit holds Dy at (0.3333, 0.6667, 0.0628), Tc at (0.0000, 0.0000, 0.0000) and Tc at (0.1710, 0.3420, 0.7500).

The formation energy is -0.150 eV per atom.



Record 10
Here is an optimized crystal structure of LiCdPt from Alexandria. Energies are from PBEsol.

The space group is F-43m (No. 216) and the conventional cell measures 6.150, 6.150 and 6.150 Å, with angles of 90.00, 90.00 and 90.00 degrees. The asymmetric unit holds Li at (0.000, 0.000, 0.000), Cd at (0.250, 0.250, 0.750) and Pt at (0.000, 0.000, 0.500).

The value obtained for the polymorph energy (0 for the lowest one) is 397 meV per atom. The formation energy is -0.029 eV per atom.



Record 11
Here is an optimized crystal structure of Y5Ag from Alexandria. Energies are from PBEsol.

The space group is C2/m (No. 12) and the conventional cell measures 12.003, 3.650 and 8.316 Å, with angles of 90.00, 111.77 and 90.00 degrees. The asymmetric unit holds Y at (0.000, 0.000, 0.000), Y at (0.142, 0.500, 0.359), Y at (0.170, 0.500, 0.803) and Ag at (0.000, 0.000, 0.500).

The value obtained for the polymorph energy (0 for the lowest one) is 3 meV per atom. The formation energy is -0.080 eV per atom.



Record 12
Here is an optimized crystal structure of FeMoOs from Alexandria. Energies are from PBEsol.

The space group is P3m1 (No. 156) and the conventional cell measures 2.6765, 2.6765 and 6.5215 Å, with angles of 90.00, 90.00 and 120.00 degrees. The asymmetric unit holds Fe at (0.0000, 0.0000, 0.0000), Mo at (0.6667, 0.3333, 0.6656) and Os at (0.3333, 0.6667, 0.3130).

The value obtained for the polymorph energy (0 for the lowest one) is 84 meV per atom. The formation energy is 0.225 eV per atom.